Entry 1:
# HgRuOF2, optimized geometry, DFT GGA-PBE
data_HgRuOF2
_chemical_formula_sum 'Hg1 Ru1 O1 F2'
_space_group_name_H-M_alt 'P 4/m m m'
_space_group_IT_number 123
_space_group_name_Hall '-P 4 2'
_cell_length_a 4.441
_cell_length_b 4.441
_cell_length_c 3.691
_cell_angle_alpha 90.00
_cell_angle_beta 90.00
_cell_angle_gamma 90.00
loop_
_atom_site_label
_atom_site_type_symbol
_atom_site_fract_x
_atom_site_fract_y
_atom_site_fract_z
Hg1 Hg 0.000 0.000 0.000
Ru1 Ru 0.500 0.500 0.500
O1 O 0.500 0.500 0.000
F1 F 0.000 0.500 0.500
# ΔE to the lowest computed polymorph	0.0	meV/atom
# VASP energy	-22.6	eV for the cell shown
# D(E_F)	4.0	states/eV per cell
# crystal system	tetragonal

Entry 2:
# Mg2Al2ZnNi5, optimized geometry, DFT GGA-PBE
data_Mg2Al2ZnNi5
_chemical_formula_sum 'Mg4 Al4 Zn2 Ni10'
_space_group_name_H-M_alt 'P 4/m b m'
_space_group_IT_number 127
_space_group_name_Hall '-P 4 2ab'
_cell_length_a 9.086
_cell_length_b 9.086
_cell_length_c 3.329
_cell_angle_alpha 90.00
_cell_angle_beta 90.00
_cell_angle_gamma 90.00
loop_
_atom_site_label
_atom_site_type_symbol
_atom_site_fract_x
_atom_site_fract_y
_atom_site_fract_z
Mg1 Mg 0.172 0.328 0.000
Al1 Al 0.127 0.627 0.000
Zn1 Zn 0.000 0.000 0.000
Ni1 Ni 0.000 0.500 0.500
Ni2 Ni 0.066 0.803 0.500
# VASP energy	-86.5	eV for the cell shown
# D(E_F)	9.0	states/eV per cell
# crystal system	tetragonal

Entry 3:
# FeIrRu2, optimized geometry, DFT GGA-PBE
data_FeIrRu2
_chemical_formula_sum 'Fe2 Ir2 Ru4'
_space_group_name_H-M_alt 'C 1 2/m 1'
_space_group_IT_number 12
_cell_length_a 8.889
_cell_length_b 2.692
_cell_length_c 4.612
_cell_angle_alpha 90.00
_cell_angle_beta 100.49
_cell_angle_gamma 90.00
loop_
_space_group_symop_operation_xyz
'x,y,z'
'-x,-y,-z'
'-x,y,-z'
'x,-y,z'
'x+1/2,y+1/2,z'
'-x+1/2,-y+1/2,-z'
'-x+1/2,y+1/2,-z'
'x+1/2,-y+1/2,z'
loop_
_atom_site_label
_atom_site_type_symbol
_atom_site_fract_x
_atom_site_fract_y
_atom_site_fract_z
Fe1 Fe 0.000 0.000 0.000
Ir1 Ir 0.000 0.500 0.500
Ru1 Ru 0.249 0.500 0.245
# ΔE to the lowest computed polymorph	59.9	meV/atom
# VASP energy	-71.3	eV for the cell shown
# D(E_F)	8.9	states/eV per cell
# crystal system	monoclinic

Entry 4:
# Sm3AlC, optimized geometry, DFT GGA-PBE
data_Sm3AlC
_chemical_formula_sum 'Sm3 Al1 C1'
_space_group_name_H-M_alt 'P m -3 m'
_space_group_IT_number 221
_space_group_name_Hall '-P 4 2 3'
_cell_length_a 5.017
_cell_length_b 5.017
_cell_length_c 5.017
_cell_angle_alpha 90.00
_cell_angle_beta 90.00
_cell_angle_gamma 90.00
loop_
_atom_site_label
_atom_site_type_symbol
_atom_site_fract_x
_atom_site_fract_y
_atom_site_fract_z
Sm1 Sm 0.000 0.000 0.500
Al1 Al 0.500 0.500 0.500
C1 C 0.000 0.000 0.000
# VASP energy	-28.4	eV for the cell shown
# D(E_F)	2.2	states/eV per cell
# crystal system	cubic

Entry 5:
# BaZr2Ru, optimized geometry, DFT GGA-PBE
data_BaZr2Ru
_chemical_formula_sum 'Ba1 Zr2 Ru1'
_space_group_name_H-M_alt 'P 4 m m'
_space_group_IT_number 99
_cell_length_a 3.407
_cell_length_b 3.407
_cell_length_c 8.866
_cell_angle_alpha 90.00
_cell_angle_beta 90.00
_cell_angle_gamma 90.00
loop_
_space_group_symop_operation_xyz
'x,y,z'
'-y,x,z'
'-x,-y,z'
'y,-x,z'
'-x,y,z'
'y,x,z'
'x,-y,z'
'-y,-x,z'
loop_
_atom_site_label
_atom_site_type_symbol
_atom_site_fract_x
_atom_site_fract_y
_atom_site_fract_z
Ba1 Ba 0.000 0.000 0.000
Zr1 Zr 0.000 0.000 0.414
Zr2 Zr 0.500 0.500 0.636
Ru1 Ru 0.500 0.500 0.268
# ΔE to the lowest computed polymorph	52.4	meV/atom
# VASP energy	-27.8	eV for the cell shown
# D(E_F)	5.4	states/eV per cell
# crystal system	tetragonal

Entry 6:
# Li5NdTe4, optimized geometry, DFT GGA-PBE
data_Li5NdTe4
_chemical_formula_sum 'Li10 Nd2 Te8'
_space_group_name_H-M_alt 'I m m m'
_space_group_IT_number 71
_space_group_name_Hall '-I 2 2'
_cell_length_a 4.476
_cell_length_b 8.217
_cell_length_c 15.012
_cell_angle_alpha 90.00
_cell_angle_beta 90.00
_cell_angle_gamma 90.00
loop_
_atom_site_label
_atom_site_type_symbol
_atom_site_fract_x
_atom_site_fract_y
_atom_site_fract_z
Li1 Li 0.000 0.000 0.000
Li2 Li 0.000 0.200 0.319
Nd1 Nd 0.000 0.500 0.000
Te1 Te 0.000 0.270 0.500
Te2 Te 0.000 0.500 0.218
# VASP energy	-76.0	eV for the cell shown
# crystal system	orthorhombic